## LaIrRu2 (GGA-PBE)

Data for crystalline LaIrRu2 at its relaxed geometry.

Cell lengths 4.484, 2.928, 5.626 Å; angles 78.24, 90.00, 90.00 degrees
Positions (direct):
Ir  0.000  0.338  0.477
Ru  0.000  0.005  0.079
Ru  0.500  0.388  0.216
La  0.500  0.769  0.728

Output
Formation energy from the elements   14 kJ/mol of atoms
Total energy   -7.94 eV per atom
Energy relative to the lowest polymorph listed for this composition   3.9 meV/atom

## BaFe3B (GGA-PBE)

Data for crystalline BaFe3B at its relaxed geometry.

Cell lengths 4.912, 4.912, 4.912 Å; angles 90.00, 90.00, 90.00 degrees
Positions (direct):
Ba  0.000  0.000  0.000
B  0.500  0.500  0.500
Fe  0.500  0.000  0.000
Fe  0.000  0.000  0.500
Fe  0.000  0.500  0.000

Output
Formation energy from the elements   304 kJ/mol of atoms
Total energy   -3.64 eV per atom
Energy relative to the lowest polymorph listed for this composition   2533.4 meV/atom

## CaCrIr2 (GGA-PBE)

Data for crystalline CaCrIr2 at its relaxed geometry.

Cell lengths 4.683, 4.683, 5.541 Å; angles 79.50, 79.50, 36.09 degrees
Positions (direct):
Cr  0.250  0.250  0.250
Ca  0.750  0.750  0.750
Ir  0.987  0.987  0.059
Ir  0.513  0.513  0.441

Output
Formation energy from the elements   16 kJ/mol of atoms
Total energy   -7.18 eV per atom
Energy relative to the lowest polymorph listed for this composition   289.6 meV/atom

## NiS5 (GGA-PBE)

Data for crystalline NiS5 at its relaxed geometry.

Cell lengths 10.531, 8.530, 11.272 Å; angles 95.63, 75.38, 158.45 degrees
Positions (direct):
Ni  0.809  0.123  0.772
Ni  0.191  0.877  0.228
S  0.776  0.044  0.580
S  0.402  0.792  0.728
S  0.224  0.956  0.420
S  0.356  0.250  0.961
S  0.598  0.208  0.272
S  0.530  0.824  0.988
S  0.644  0.750  0.039
S  0.486  0.467  0.406
S  0.514  0.533  0.594
S  0.470  0.176  0.012

Output
Total energy   -4.34 eV per atom
Energy relative to the elements, uncorrected   0.062 eV/atom

## Li3Zn2H6 (GGA-PBE)

Data for crystalline Li3Zn2H6 at its relaxed geometry.

Cell lengths 3.292, 5.019, 7.617 Å; angles 69.53, 70.14, 74.60 degrees
Positions (direct):
H  0.478  0.261  0.431
H  0.327  0.070  0.157
H  0.673  0.930  0.843
H  0.983  0.394  0.802
H  0.017  0.606  0.198
H  0.522  0.739  0.569
Zn  0.927  0.759  0.673
Zn  0.073  0.241  0.327
Li  0.000  0.000  0.000
Li  0.606  0.315  0.683
Li  0.394  0.685  0.317

Output
Total energy   -2.71 eV per atom

## Pu3CoGe3 (GGA-PBE)

Data for crystalline Pu3CoGe3 at its relaxed geometry.

Cell lengths 4.268, 5.627, 13.114 Å; angles 77.41, 80.63, 67.71 degrees
Positions (direct):
Ge  0.839  0.778  0.544
Ge  0.061  0.122  0.756
Ge  0.876  0.187  0.061
Ge  0.124  0.813  0.939
Ge  0.939  0.878  0.244
Ge  0.161  0.222  0.456
Pu  0.760  0.699  0.781
Pu  0.415  0.269  0.901
Pu  0.585  0.731  0.099
Pu  0.240  0.301  0.219
Pu  0.526  0.337  0.612
Pu  0.474  0.663  0.388
Co  0.256  0.872  0.616
Co  0.744  0.128  0.384

Output
Formation energy from the elements   -37 kJ/mol of atoms
Total energy   -9.52 eV per atom
Energy relative to the lowest polymorph listed for this composition   0.0 meV/atom

## Sm3Ho2Er6 (GGA-PBE)

Data for crystalline Sm3Ho2Er6 at its relaxed geometry.

Cell lengths 4.714, 4.714, 16.867 Å; angles 98.03, 98.03, 90.00 degrees
Positions (direct):
Sm  0.202  0.202  0.405
Sm  0.798  0.798  0.595
Sm  0.000  0.000  0.000
Er  0.379  0.879  0.758
Er  0.621  0.121  0.242
Er  0.694  0.694  0.388
Er  0.306  0.306  0.612
Er  0.121  0.621  0.242
Er  0.879  0.379  0.758
Ho  0.546  0.546  0.092
Ho  0.454  0.454  0.908

Output
Formation energy from the elements   27 kJ/mol of atoms
Total energy   -4.33 eV per atom

## HfSbO3 (GGA-PBE)

Data for crystalline HfSbO3 at its relaxed geometry.

Cell lengths 4.138, 4.138, 4.138 Å; angles 90.00, 90.00, 90.00 degrees
Positions (direct):
Hf  0.500  0.500  0.500
O  0.500  0.000  0.000
O  0.000  0.000  0.500
O  0.000  0.500  0.000
Sb  0.000  0.000  0.000

Output
Total energy   -6.40 eV per atom
Energy relative to the elements, uncorrected   -0.611 eV/atom